Record 1
A plane-wave DFT calculation with PBE-GGA was carried out for crystalline Sm3S3N at its relaxed geometry.

Output
**Space group**: No. 62
**Uncorrected energy**: -193.88 eV for the cell shown

a b c (Å): 12.2112 3.9527 13.0924
angles (deg): 90.00 90.00 90.00
Closest atoms and distances in Å follow each position.
Fractional positions:
Sm 0.0462 0.2500 0.1457  2 N 2.35
Sm 0.0717 0.2500 0.6305  1 N 2.24
Sm 0.2149 0.2500 0.8626  1 N 2.31
Sm 0.2851 0.7500 0.3626  1 N 2.31
Sm 0.4283 0.7500 0.1305  1 N 2.24
Sm 0.4538 0.7500 0.6457  2 N 2.35
Sm 0.5462 0.2500 0.3543  2 N 2.35
Sm 0.5717 0.2500 0.8695  1 N 2.24
Sm 0.7149 0.2500 0.6374  1 N 2.31
Sm 0.7851 0.7500 0.1374  1 N 2.31
Sm 0.9283 0.7500 0.3695  1 N 2.24
Sm 0.9538 0.7500 0.8543  2 N 2.35
S 0.0896 0.2500 0.3957  5 Sm 2.81-3.13
S 0.1345 0.7500 0.9922  5 Sm 2.78-3.02
S 0.2256 0.7500 0.6935  5 Sm 2.85-2.97
S 0.2744 0.2500 0.1935  5 Sm 2.85-2.97
S 0.3655 0.2500 0.4922  5 Sm 2.78-3.02
S 0.4104 0.7500 0.8957  5 Sm 2.81-3.13
S 0.5896 0.2500 0.1043  5 Sm 2.81-3.13
S 0.6345 0.7500 0.5078  5 Sm 2.78-3.02
S 0.7256 0.7500 0.8065  5 Sm 2.85-2.97
S 0.7744 0.2500 0.3065  5 Sm 2.85-2.97
S 0.8655 0.2500 0.0078  5 Sm 2.78-3.02
S 0.9104 0.7500 0.6043  5 Sm 2.81-3.13
N 0.0388 0.2500 0.7985  4 Sm 2.24-2.35
N 0.4612 0.7500 0.2985  4 Sm 2.24-2.35
N 0.5388 0.2500 0.7015  4 Sm 2.24-2.35
N 0.9612 0.7500 0.2015  4 Sm 2.24-2.35

Record 2
A plane-wave DFT calculation with PBE-GGA was carried out for crystalline WIN at its relaxed geometry.

Output
**Space group**: No. 29
**Uncorrected energy**: -92.21 eV for the cell shown

a b c (Å): 6.8569 10.1116 4.8635
angles (deg): 90.00 90.00 90.00
Closest atoms and distances in Å follow each position.
Fractional positions:
W 0.0540 0.0625 0.0000  3 N 1.94-2.01
W 0.4460 0.0625 0.5000  3 N 1.94-2.01
W 0.5540 0.9375 0.0000  3 N 1.94-2.01
W 0.9460 0.9375 0.5000  3 N 1.94-2.01
I 0.0068 0.6820 0.5077  1 W 2.62
I 0.4932 0.6820 0.0077  1 W 2.62
I 0.5068 0.3180 0.5077  1 W 2.62
I 0.9932 0.3180 0.0077  1 W 2.62
N 0.1821 0.0161 0.6493  3 W 1.94-2.01
N 0.3179 0.0161 0.1493  3 W 1.94-2.01
N 0.6821 0.9839 0.6493  3 W 1.94-2.01
N 0.8179 0.9839 0.1493  3 W 1.94-2.01

Record 3
A plane-wave DFT calculation with PBE-GGA was carried out for crystalline CoSi2P at its relaxed geometry.

Output
**Space group**: No. 44
**Uncorrected energy**: -46.35 eV for the cell shown

a b c (Å): 2.6651 3.8113 10.5381
angles (deg): 90.00 90.00 90.00
Closest atoms and distances in Å follow each position.
Fractional positions:
Co 0.0000 0.0000 0.0000  2 P 2.31, 6 Si 2.35-2.51
Co 0.5000 0.5000 0.5000  2 P 2.31, 6 Si 2.35-2.51
Si 0.0000 0.0000 0.4685  4 Co 2.35, 2 Si 2.62
Si 0.0000 0.5000 0.2985  2 Co 2.51, 4 Si 2.62-2.67, 4 P 2.65
Si 0.5000 0.0000 0.7985  2 Co 2.51, 4 Si 2.62-2.67, 4 P 2.65
Si 0.5000 0.5000 0.9685  4 Co 2.35, 2 Si 2.62
P 0.0000 0.5000 0.6789  2 Co 2.31
P 0.5000 0.0000 0.1789  2 Co 2.31

Record 4
A plane-wave DFT calculation with PBE-GGA was carried out for crystalline AcSmMgHg at its relaxed geometry.

Output
**Space group**: No. 216
**Uncorrected energy**: -46.52 eV for the cell shown
**E_form**: -0.227 eV/atom

a b c (Å): 7.9020 7.9020 7.9020
angles (deg): 90.00 90.00 90.00
Closest atoms and distances in Å follow each position.
Fractional positions:
Ac 0.0000 0.0000 0.0000  4 Hg 3.42, 4 Mg 3.42
Ac 0.0000 0.5000 0.5000  4 Hg 3.42, 4 Mg 3.42
Ac 0.5000 0.0000 0.5000  4 Hg 3.42, 4 Mg 3.42
Ac 0.5000 0.5000 0.0000  4 Hg 3.42, 4 Mg 3.42
Sm 0.0000 0.0000 0.5000  4 Hg 3.42, 4 Mg 3.42
Sm 0.0000 0.5000 0.0000  4 Hg 3.42, 4 Mg 3.42
Sm 0.5000 0.0000 0.0000  4 Hg 3.42, 4 Mg 3.42
Sm 0.5000 0.5000 0.5000  4 Hg 3.42, 4 Mg 3.42
Mg 0.2500 0.2500 0.7500  4 Ac 3.42, 4 Sm 3.42
Mg 0.2500 0.7500 0.2500  4 Ac 3.42, 4 Sm 3.42
Mg 0.7500 0.2500 0.2500  4 Ac 3.42, 4 Sm 3.42
Mg 0.7500 0.7500 0.7500  4 Ac 3.42, 4 Sm 3.42
Hg 0.2500 0.2500 0.2500  4 Ac 3.42, 4 Sm 3.42
Hg 0.2500 0.7500 0.7500  4 Ac 3.42, 4 Sm 3.42
Hg 0.7500 0.2500 0.7500  4 Ac 3.42, 4 Sm 3.42
Hg 0.7500 0.7500 0.2500  4 Ac 3.42, 4 Sm 3.42

Record 5
A plane-wave DFT calculation with PBE-GGA was carried out for crystalline Ga3PdS at its relaxed geometry.

Output
**Space group**: No. 221
**Uncorrected energy**: -16.33 eV for the cell shown

a b c (Å): 4.7418 4.7418 4.7418
angles (deg): 90.00 90.00 90.00
Closest atoms and distances in Å follow each position.
Fractional positions:
Ga 0.0000 0.0000 0.5000  2 S 2.37
Ga 0.0000 0.5000 0.0000  2 S 2.37
Ga 0.5000 0.0000 0.0000  2 S 2.37
Pd 0.5000 0.5000 0.5000  12 Ga 3.35
S 0.0000 0.0000 0.0000  6 Ga 2.37

Record 6
A plane-wave DFT calculation with PBE-GGA was carried out for crystalline K4TmSb3O12 at its relaxed geometry.

Output
**Space group**: No. 229
**Uncorrected energy**: -114.54 eV for the cell shown

a b c (Å): 7.1432 7.1432 7.1432
angles (deg): 109.47 109.47 109.47
Closest atoms and distances in Å follow each position.
Fractional positions:
K 0.0000 0.0000 0.5000  12 O 2.92
K 0.0000 0.5000 0.0000  12 O 2.92
K 0.5000 0.0000 0.0000  12 O 2.92
K 0.5000 0.5000 0.5000  12 O 2.92
Tm 0.0000 0.0000 0.0000  6 O 2.19
Sb 0.0000 0.5000 0.5000  6 O 1.93-2.06
Sb 0.5000 0.0000 0.5000  6 O 1.93-2.06
Sb 0.5000 0.5000 0.0000  6 O 1.93-2.06
O 0.0000 0.2656 0.2656  1 Sb 1.93
O 0.0000 0.7344 0.7344  1 Sb 1.93
O 0.2500 0.5000 0.7500  2 Sb 2.06
O 0.2500 0.7500 0.5000  2 Sb 2.06
O 0.2656 0.0000 0.2656  1 Sb 1.93
O 0.2656 0.2656 0.0000  1 Sb 1.93
O 0.5000 0.2500 0.7500  2 Sb 2.06
O 0.5000 0.7500 0.2500  2 Sb 2.06
O 0.7344 0.0000 0.7344  1 Sb 1.93
O 0.7344 0.7344 0.0000  1 Sb 1.93
O 0.7500 0.2500 0.5000  2 Sb 2.06
O 0.7500 0.5000 0.2500  2 Sb 2.06

Record 7
A plane-wave DFT calculation with PBE-GGA was carried out for crystalline VTcBRu at its relaxed geometry.

Output
**Space group**: No. 216
**Uncorrected energy**: -142.20 eV for the cell shown
**E_form**: -0.028 eV/atom

a b c (Å): 5.7730 5.7730 5.7730
angles (deg): 90.00 90.00 90.00
Closest atoms and distances in Å follow each position.
Fractional positions:
V 0.0000 0.0000 0.0000  4 Tc 2.50, 4 Ru 2.50
V 0.0000 0.5000 0.5000  4 Tc 2.50, 4 Ru 2.50
V 0.5000 0.0000 0.5000  4 Tc 2.50, 4 Ru 2.50
V 0.5000 0.5000 0.0000  4 Tc 2.50, 4 Ru 2.50
Tc 0.2500 0.2500 0.7500  4 B 2.50, 4 V 2.50
Tc 0.2500 0.7500 0.2500  4 V 2.50, 4 B 2.50
Tc 0.7500 0.2500 0.2500  4 V 2.50, 4 B 2.50
Tc 0.7500 0.7500 0.7500  4 V 2.50, 4 B 2.50
B 0.0000 0.0000 0.5000  4 Tc 2.50, 4 Ru 2.50
B 0.0000 0.5000 0.0000  4 Tc 2.50, 4 Ru 2.50
B 0.5000 0.0000 0.0000  4 Tc 2.50, 4 Ru 2.50
B 0.5000 0.5000 0.5000  4 Tc 2.50, 4 Ru 2.50
Ru 0.2500 0.2500 0.2500  4 B 2.50, 4 V 2.50
Ru 0.2500 0.7500 0.7500  4 B 2.50, 4 V 2.50
Ru 0.7500 0.2500 0.7500  4 B 2.50, 4 V 2.50
Ru 0.7500 0.7500 0.2500  4 B 2.50, 4 V 2.50

Record 8
A plane-wave DFT calculation with PBE-GGA was carried out for crystalline MgOsRh2 at its relaxed geometry.

Output
**Space group**: No. 44
**Uncorrected energy**: -54.78 eV for the cell shown
**E_form**: 0.035 eV/atom

a b c (Å): 2.7842 4.4619 9.8636
angles (deg): 90.00 90.00 90.00
Closest atoms and distances in Å follow each position.
Fractional positions:
Mg 0.0000 0.0000 0.0000  4 Rh 2.63, 2 Mg 2.78
Mg 0.5000 0.5000 0.5000  4 Rh 2.63, 2 Mg 2.78
Os 0.0000 0.5000 0.7729  6 Rh 2.55-2.67, 2 Os 2.78
Os 0.5000 0.0000 0.2729  6 Rh 2.55-2.67, 2 Os 2.78
Rh 0.0000 0.0000 0.4890  2 Os 2.55, 4 Mg 2.63, 4 Rh 2.71-2.78
Rh 0.0000 0.5000 0.2251  4 Os 2.67, 4 Rh 2.71-2.78
Rh 0.5000 0.0000 0.7251  4 Os 2.67, 4 Rh 2.71-2.78
Rh 0.5000 0.5000 0.9890  2 Os 2.55, 4 Mg 2.63, 4 Rh 2.71-2.78

Record 9
A plane-wave DFT calculation with PBE-GGA was carried out for crystalline LiPuPb at its relaxed geometry.

Output
**Space group**: No. 187
**Uncorrected energy**: -20.37 eV for the cell shown
**E_form**: -0.139 eV/atom

a b c (Å): 5.0111 5.0111 3.4302
angles (deg): 90.00 90.00 120.00
Closest atoms and distances in Å follow each position.
Fractional positions:
Li 0.0000 0.0000 0.0000  3 Pb 2.89
Pu 0.6667 0.3333 0.5000  6 Li 3.36, 6 Pb 3.36, 2 Pu 3.43
Pb 0.3333 0.6667 0.0000  3 Li 2.89

Record 10
A plane-wave DFT calculation with PBE-GGA was carried out for crystalline KRbLi3 at its relaxed geometry.

Output
**Space group**: No. 221
**Uncorrected energy**: -5.16 eV for the cell shown
**E_form**: 0.529 eV/atom

a b c (Å): 6.4452 6.4452 6.4452
angles (deg): 90.00 90.00 90.00
Closest atoms and distances in Å follow each position.
Fractional positions:
K 0.0000 0.0000 0.0000  12 Li 4.56
Rb 0.5000 0.5000 0.5000  6 Li 3.22
Li 0.0000 0.5000 0.5000  2 Rb 3.22
Li 0.5000 0.0000 0.5000  2 Rb 3.22
Li 0.5000 0.5000 0.0000  2 Rb 3.22

Record 11
A plane-wave DFT calculation with PBE-GGA was carried out for crystalline K2AlPt at its relaxed geometry.

Output
**Space group**: No. 99
**Uncorrected energy**: -12.84 eV for the cell shown
**E_form**: -0.216 eV/atom

a b c (Å): 3.5635 3.5635 10.1500
angles (deg): 90.00 90.00 90.00
Closest atoms and distances in Å follow each position.
Fractional positions:
K 0.0000 0.0000 0.0000  1 Pt 3.25, 4 K 3.56
K 0.5000 0.5000 0.4080  1 Al 3.18
Al 0.5000 0.5000 0.7209  4 Pt 2.55
Pt 0.0000 0.0000 0.6794  4 Al 2.55